A relaxed AlMoRu2 crystal. Source: Alexandria via LeMat-Bulk, functional PBE-GGA.

The final energy is -8.657 eV/atom.

The structure in CIF format:
```
data_AlMoRu2
_chemical_formula_sum 'Al1 Mo1 Ru2'
_space_group_name_H-M_alt 'P 4/m m m'
_space_group_IT_number 123
_space_group_name_Hall '-P 4 2'
_cell_length_a 3.005
_cell_length_b 3.005
_cell_length_c 6.289
_cell_angle_alpha 90.00
_cell_angle_beta 90.00
_cell_angle_gamma 90.00
loop_
_atom_site_label
_atom_site_type_symbol
_atom_site_fract_x
_atom_site_fract_y
_atom_site_fract_z
Al1 Al 0.000 0.000 0.000
Mo1 Mo 0.000 0.000 0.500
Ru1 Ru 0.500 0.500 0.239
```